No. 1
Below is Y3NbFe after structural relaxation, with properties calculated at the PBE-GGA level.

## Properties
polymorph energy (0 for the lowest one)	0.00	kcal/mol of atoms
magnetic moment	3.36	μB/cell
V	27.222	Å³/atom
uncorrected energy	-35.112	eV per formula unit
DOS at the Fermi energy	1.00	states/eV per atom
energy relative to the elements	0.563	eV per atom
mass density	5.07	g cm⁻³

Cell: 5.1440 5.1440 5.1440 Å, 90.00 90.00 90.00°
With the nearest neighbours (Å) after each atom.
Fractional positions:
Y 0.0000 0.5000 0.0000  2 Fe 2.57
Y 0.0000 0.0000 0.5000  2 Fe 2.57
Y 0.5000 0.0000 0.0000  2 Fe 2.57
Nb 0.5000 0.5000 0.5000  12 Y 3.64
Fe 0.0000 0.0000 0.0000  6 Y 2.57



No. 2
Below is Rb2AgBr4 after structural relaxation, with properties calculated at the PBE-GGA level.

## Properties
polymorph energy (0 for the lowest one)	0.00	kcal/mol of atoms
magnetic moment	0.00	μB/cell
V	39.976	Å³/atom
uncorrected energy	-19.288	eV per formula unit
DOS at the Fermi energy	0.54	states/eV per atom
formation energy from raw total energies	-1.12	eV per atom
mass density	3.55	g cm⁻³

Cell: 4.6219 7.7810 7.7810 Å, 90.00 90.00 90.00°
With the nearest neighbours (Å) after each atom.
Fractional positions:
Br 0.0000 0.7620 0.7620  1 Ag 2.62
Br 0.0000 0.2380 0.2380  1 Ag 2.62
Br 0.0000 0.7620 0.2380  1 Ag 2.62
Br 0.0000 0.2380 0.7620  1 Ag 2.62
Ag 0.0000 0.0000 0.0000  4 Br 2.62
Rb 0.5000 0.0000 0.5000  8 Br 3.60
Rb 0.5000 0.5000 0.0000  8 Br 3.60